Er3Bi | PBE-GGA | optimized geometry

Structure (extended XYZ):
```
4
Lattice="-1.845 5.489 2.891 1.845 -5.489 2.891 1.845 5.489 -2.891" Properties=species:S:1:pos:R:3 pbc="T T T"
Er 0.000 0.000 0.000
Er 1.845 2.931 0.727
Er 0.000 2.558 3.618
Bi 1.845 0.000 2.754
```

Output
As for the space-group type: Imm2 (44).

CaCdHPb2 | PBE-GGA | optimized geometry

Structure (extended XYZ):
```
5
Lattice="5.038 0.000 0.000 0.000 5.038 0.000 0.000 0.000 4.638" Properties=species:S:1:pos:R:3 pbc="T T T"
Ca 0.000 0.000 0.000
Cd 2.519 2.519 0.000
H 0.000 0.000 2.319
Pb 0.000 2.519 2.319
Pb 2.519 0.000 2.319
```

Output
As for the space-group type: P4/mmm (123).

Ag8Pt | PBE-GGA | optimized geometry

Structure (extended XYZ):
```
9
Lattice="-4.374 4.374 2.067 4.374 -4.374 2.067 4.374 4.374 -2.067" Properties=species:S:1:pos:R:3 pbc="T T T"
Ag 2.901 0.000 0.000
Ag 5.848 0.000 0.000
Ag 0.000 2.901 0.000
Ag 2.934 2.934 0.000
Ag 1.440 -1.440 2.067
Ag -1.440 1.440 2.067
Ag 1.440 1.440 2.067
Ag 0.000 5.848 0.000
Pt 0.000 0.000 0.000
```

Output
As for the space-group type: I4/mmm (139).

Hf4CuRh | PBE-GGA | optimized geometry

Structure (extended XYZ):
```
6
Lattice="7.215 -1.590 0.000 7.215 1.590 0.000 -2.074 0.000 5.077" Properties=species:S:1:pos:R:3 pbc="T T T"
Hf 1.601 0.000 1.641
Hf 4.581 0.000 0.884
Hf 7.775 0.000 4.193
Hf 10.756 0.000 3.436
Cu 7.215 0.000 0.000
Rh -1.037 0.000 2.539
```

Output
As for the space-group type: C2/m (12).

Number 1: DFT total energy -4.69 eV/atom, total moment 0.0 μB/f.u.. Number 2: DFT total energy -2.84 eV/atom, total moment 0.0 μB/f.u.. Number 3: DFT total energy -3.19 eV/atom, total moment 0.0 μB/f.u.. Number 4: DFT total energy -8.70 eV/atom, total moment 0.0 μB/f.u..